Density functional theory data (PBE with a Hubbard U) for a relaxed structure of Nb2CrFeO.

Properties
Its density of states at the Fermi level is 1.363 states/eV/atom. For the total moment, the calculation gives 5.6 Bohr magnetons per cell. The total DFT energy (no corrections) is -33.546 eV per cell.

Cell lengths 5.003, 5.003, 3.466 Å; angles 90.00, 90.00, 90.00 degrees
Space group P4/mmm (No. 123)
Inequivalent atoms, fractional coordinates:
1 Nb 0.000 0.500 0.000 x2
2 Cr 0.000 0.000 0.500 x1
3 Fe 0.500 0.500 0.000 x1
4 O 0.500 0.500 0.500 x1